Material: Sr2Eu2TlNi2O9
Method: DFT, GGA+U
State: relaxed

volume = 215.4 Å³/cell
total energy = -106.57 eV/cell

abc: 15.198 15.194 3.795
angles: 82.88 82.77 14.35
Site moments in Bohr magnetons follow the coordinates.
Positions (direct):
Sr (0.590, 0.579, 0.421)  0.00
Sr (0.421, 0.410, 0.590)  0.00
Eu (0.708, 0.700, 0.300)  -6.36
Eu (0.300, 0.292, 0.708)  -6.36
Tl (0.034, 0.966, 0.034)  0.02
Ni (0.152, 0.144, 0.856)  1.43
Ni (0.856, 0.848, 0.152)  1.43
O (0.223, 0.215, 0.785)  0.17
O (0.785, 0.777, 0.223)  0.17
O (0.471, 0.529, 0.471)  0.02
O (0.653, 0.645, 0.856)  -0.04
O (0.154, 0.144, 0.355)  -0.04
O (0.355, 0.347, 0.154)  -0.04
O (0.856, 0.846, 0.653)  -0.04
O (0.067, 0.074, 0.926)  0.00
O (0.926, 0.933, 0.067)  0.00